Below is a relaxed structure of ScCd2Os, with properties calculated at the GGA-PBE level.

a b c (Å): 4.006 4.038 4.578
angles (deg): 90.00 90.00 90.00
Space group Pmmm (No. 47)
Symmetry-distinct sites (fractional):
Sc (0.000, 0.000, 0.000)
Cd (0.000, 0.500, 0.500)
Cd (0.500, 0.000, 0.500)
Os (0.500, 0.500, 0.000)

Energy relative to the elements: 0.0553 eV/atom
Electronic total energy: -19.2 eV/cell